[1]
## CuAsSe2 (PBE)

Data for crystalline CuAsSe2 at its relaxed geometry.

Geometry as POSCAR:
```
CuAsSe2
1.0
6.241 -1.906 0.000
6.241 1.906 0.000
-0.556 0.000 4.501
Cu As Se
1 1 2
direct
0.000 0.000 0.000
0.380 0.380 0.632
0.571 0.571 0.767
0.845 0.845 0.245
```

Computed properties:
Crystal system = monoclinic

[2]
## CuAsSe (PBE)

Data for crystalline CuAsSe at its relaxed geometry.

Geometry as POSCAR:
```
CuAsSe
1.0
4.064 0.000 0.000
-2.028 5.304 0.000
-0.003 -0.780 6.181
Cu As Se
2 2 2
direct
0.012 0.022 0.229
0.988 0.978 0.771
0.211 0.423 0.889
0.789 0.577 0.111
0.386 0.772 0.666
0.614 0.228 0.334
```

Computed properties:
Crystal system = triclinic

[3]
## CuAs2Se3 (PBE)

Data for crystalline CuAs2Se3 at its relaxed geometry.

Geometry as POSCAR:
```
CuAs2Se3
1.0
5.778 -4.471 0.000
5.778 4.471 0.000
0.000 0.000 6.196
Cu As Se
2 4 6
direct
0.159 0.841 0.500
0.841 0.159 0.000
0.201 0.551 0.981
0.449 0.799 0.981
0.551 0.201 0.481
0.799 0.449 0.481
0.108 0.892 0.879
0.138 0.541 0.363
0.459 0.862 0.363
0.541 0.138 0.863
0.862 0.459 0.863
0.892 0.108 0.379
```

Computed properties:
Crystal system = orthorhombic

[4]
## Cu4As2Se (PBE)

Data for crystalline Cu4As2Se at its relaxed geometry.

Geometry as POSCAR:
```
Cu4As2Se
1.0
-2.335 2.335 6.180
2.335 -2.335 6.180
2.335 2.335 -6.180
Cu As Se
4 2 1
direct
0.000 0.500 0.500
0.193 0.193 0.000
0.500 0.000 0.500
0.807 0.807 0.000
0.378 0.378 0.000
0.622 0.622 0.000
0.000 0.000 0.000
```

Computed properties:
Crystal system = tetragonal

DFT total energy / eV per cell: -15.959, -24.681, -47.969, -25.898